Record 1
VASP calculation (PBEsol) on a relaxed TeI2BrF crystal.

a = 5.6471 Å, b = 5.6996 Å, c = 5.6996 Å
α = 90.00°, β = 90.00°, γ = 90.00°
Last column: nearest neighbours and their distance in Å.
Atoms (fractional coordinates):
I (0.0000, 0.0000, 0.5000)  2 Br 2.85
I (0.0000, 0.5000, 0.0000)  2 Br 2.85
Te (0.5000, 0.0000, 0.0000)  2 Br 2.82
Br (0.0000, 0.0000, 0.0000)  2 Te 2.82, 4 I 2.85
F (0.5000, 0.5000, 0.5000)  8 I 4.01, 4 Te 4.03

Output
Fermi-level density of states (states/eV/f.u.): 9.75
SG: No. 123

Record 2
VASP calculation (PBEsol) on a relaxed Co3OF5 crystal.

a = 5.5215 Å, b = 5.5215 Å, c = 7.0730 Å
α = 72.81°, β = 72.81°, γ = 74.70°
Last column: nearest neighbours and their distance in Å.
Atoms (fractional coordinates):
Co (0.6738, 0.6738, 0.8496)  1 O 1.79, 1 F 1.98
Co (0.6510, 0.6510, 0.3088)  2 O 1.82-1.84, 2 F 2.02
Co (0.3466, 0.3466, 0.6523)  1 O 1.85, 5 F 2.00-2.07
Co (0.3392, 0.3392, 0.1784)  1 O 1.80, 2 F 2.02
Co (0.9985, 0.9985, 0.5003)  6 F 1.92-2.01
Co (0.9867, 0.9867, 0.0028)  1 O 1.85, 5 F 2.01-2.06
O (0.4280, 0.4280, 0.3710)  3 Co 1.80-1.85
O (0.7677, 0.7677, 0.0349)  3 Co 1.79-1.85
F (0.9612, 0.3612, 0.3283)  3 Co 2.01-2.03
F (0.6372, 0.0417, 0.6738)  3 Co 2.00-2.04
F (0.5850, 0.5850, 0.6295)  3 Co 1.98-2.12
F (0.8885, 0.8885, 0.3106)  3 Co 1.92-2.09
F (0.2311, 0.2311, 0.9659)  3 Co 2.05-2.07
F (0.1053, 0.1053, 0.6967)  3 Co 1.94-2.02
F (0.3612, 0.9612, 0.3283)  3 Co 2.01-2.03
F (0.0417, 0.6372, 0.6738)  3 Co 2.00-2.04
F (0.6996, 0.2977, 0.9974)  3 Co 2.01-2.02
F (0.2977, 0.6996, 0.9974)  3 Co 2.01-2.02

Output
Fermi-level density of states (states/eV/f.u.): 11.97
Distance to the lowest polymorph of the same formula (meV/atom): 0.0
SG: No. 8

Record 3
VASP calculation (PBEsol) on a relaxed Ta4Mo3 crystal.

a = 3.1938 Å, b = 3.1938 Å, c = 11.5567 Å
α = 97.94°, β = 97.94°, γ = 90.00°
Last column: nearest neighbours and their distance in Å.
Atoms (fractional coordinates):
Mo (0.0037, 0.0037, 0.0073)  4 Mo 2.71, 4 Ta 2.78
Mo (0.5700, 0.5700, 0.1401)  4 Mo 2.71, 4 Ta 2.79
Mo (0.7123, 0.7123, 0.4246)  8 Ta 2.75-2.76
Ta (0.1423, 0.1423, 0.2846)  8 Mo 2.76-2.79
Ta (0.2817, 0.2817, 0.5634)  4 Mo 2.75, 4 Ta 2.84
Ta (0.8575, 0.8575, 0.7151)  8 Ta 2.83-2.84
Ta (0.4325, 0.4325, 0.8649)  4 Mo 2.78, 4 Ta 2.83

Output
Fermi-level density of states (states/eV/f.u.): 6.36
Distance to the lowest polymorph of the same formula (meV/atom): 7.2
SG: No. 107

Record 4
VASP calculation (PBEsol) on a relaxed Li2Cu5P4O16 crystal.

a = 5.2862 Å, b = 7.6396 Å, c = 8.4322 Å
α = 62.63°, β = 84.57°, γ = 79.63°
Last column: nearest neighbours and their distance in Å.
Atoms (fractional coordinates):
P (0.8833, 0.2103, 0.5877)  4 O 1.52-1.59
P (0.3225, 0.3064, 0.0034)  4 O 1.54-1.57
P (0.6775, 0.6936, 0.9966)  4 O 1.54-1.57
P (0.1167, 0.7897, 0.4123)  4 O 1.52-1.59
Cu (0.8058, 0.2285, 0.2132)  5 O 1.93-2.10
Cu (0.0000, 0.0000, 0.0000)  4 O 1.93-1.94
Cu (0.2785, 0.4629, 0.2829)  4 O 1.91-1.96
Cu (0.7215, 0.5371, 0.7171)  4 O 1.91-1.96
Cu (0.1942, 0.7715, 0.7868)  5 O 1.93-2.10
O (0.5675, 0.1583, 0.0877)  1 P 1.54
O (0.1510, 0.3484, 0.1468)  1 P 1.56
O (0.9862, 0.0169, 0.7637)  1 P 1.59
O (0.1234, 0.3103, 0.5084)  1 P 1.54
O (0.7514, 0.1506, 0.4721)  1 P 1.52
O (0.1705, 0.2312, 0.9047)  1 P 1.55
O (0.6020, 0.4915, 0.1459)  1 P 1.57
O (0.6751, 0.3299, 0.6580)  1 P 1.55
O (0.3249, 0.6701, 0.3420)  1 P 1.55
O (0.3980, 0.5085, 0.8541)  1 P 1.57
O (0.8295, 0.7688, 0.0953)  1 P 1.55
O (0.2486, 0.8494, 0.5279)  1 P 1.52
O (0.8766, 0.6897, 0.4916)  1 P 1.54
O (0.0138, 0.9831, 0.2363)  1 P 1.59
O (0.8490, 0.6516, 0.8532)  1 P 1.56
O (0.4325, 0.8417, 0.9123)  1 P 1.54
Li (0.3711, 0.1898, 0.7072)  3 O 1.98-2.01
Li (0.6289, 0.8102, 0.2928)  3 O 1.98-2.01

Output
Fermi-level density of states (states/eV/f.u.): 3.68
SG: No. 2

Number 1: calculated total energy -1.646 eV per atom, mass density 4.35 g cm⁻³. Number 2: calculated total energy -5.762 eV per atom, mass density 4.95 g cm⁻³. Number 3: calculated total energy -12.343 eV per atom, mass density 14.53 g cm⁻³. Number 4: calculated total energy -6.537 eV per atom, mass density 3.97 g cm⁻³.